Material: Li2MnAsO4
Method: DFT, GGA+U
State: relaxed

Cell and atoms, written as CIF:
```
data_Li2MnAsO4
_chemical_formula_sum 'Li8 Mn4 As4 O16'
_symmetry_space_group_name_H-M 'F m m 2'
_symmetry_Int_Tables_number 42
_symmetry_space_group_name_Hall 'F 2 -2'
_cell_length_a 6.4692
_cell_length_b 7.8918
_cell_length_c 6.5267
_cell_angle_alpha 90.00
_cell_angle_beta 90.00
_cell_angle_gamma 90.00
loop_
_atom_site_label
_atom_site_fract_x
_atom_site_fract_y
_atom_site_fract_z
Li1 0.2500 0.2500 0.0000
Mn1 0.0000 0.0000 0.2434
As1 0.0000 0.0000 0.7550
O1 0.0000 0.2407 0.7063
O2 0.2149 0.0000 0.9349
```

DOS(E_F) (states/eV per atom): 0.126
E_tot (eV/atom): -6.068